1.
Density functional theory data (PBE) for a relaxed structure of CsZn4As3.

Summary:
Its crystal system is tetragonal. The calculation puts the total DFT energy (no corrections) at -22.319 eV per cell.

a = 4.235 Å, b = 4.235 Å, c = 10.756 Å
α = 90.00°, β = 90.00°, γ = 90.00°
Fractional coordinates of all 8 atoms:
Cs 0.000 0.000 0.000
Zn 0.000 0.500 0.347
Zn 0.000 0.500 0.653
Zn 0.500 0.000 0.347
Zn 0.500 0.000 0.653
As 0.000 0.000 0.500
As 0.500 0.500 0.219
As 0.500 0.500 0.781

2.
Density functional theory data (PBE) for a relaxed structure of Cs2Zn2As.

Summary:
Its crystal system is tetragonal. The calculation puts the total DFT energy (no corrections) at -8.462 eV per cell. The energy above the most stable polymorph in this dataset comes out at 64 meV/atom.

a = 12.488 Å, b = 12.488 Å, c = 12.488 Å
α = 162.64°, β = 162.64°, γ = 24.65°
Fractional coordinates of all 5 atoms:
Cs 0.100 0.100 0.000
Cs 0.900 0.900 0.000
Zn 0.250 0.750 0.500
Zn 0.750 0.250 0.500
As 0.500 0.500 0.000